# 1
Below is a relaxed PmEr2InPd4 crystal, with properties calculated at the PBE-GGA level.

Results
Energy ... -5.49 eV/atom
Spin magnetization ... 0.0 μB per cell

Cell lengths 4.889, 4.889, 8.519 Å; angles 73.33, 73.33, 60.00 degrees
Sites, in units of the cell vectors:
Pd: 0.621 0.621 0.137
Pd: 0.379 0.379 0.863
Pd: 0.124 0.124 0.627
Pd: 0.876 0.876 0.373
Pm: 0.000 0.000 0.000
In: 0.500 0.500 0.500
Er: 0.756 0.756 0.733
Er: 0.244 0.244 0.267

---

# 2
Below is a relaxed PrEr2InPd4 crystal, with properties calculated at the PBE-GGA level.

Results
Energy ... -5.47 eV/atom
Spin magnetization ... 0.0 μB per cell

Cell lengths 4.885, 4.885, 8.656 Å; angles 73.61, 73.61, 60.00 degrees
Sites, in units of the cell vectors:
Pr: 0.000 0.000 0.000
Pd: 0.875 0.875 0.375
Pd: 0.384 0.384 0.847
Pd: 0.125 0.125 0.625
Pd: 0.616 0.616 0.153
Er: 0.757 0.757 0.729
Er: 0.243 0.243 0.271
In: 0.500 0.500 0.500

---

Number 1: ρ 10.18 g/cm3, energy of formation from the pure elements -0.81 eV/atom, N(E_F) 0.703 states/eV per atom. Number 2: ρ 9.98 g/cm3, energy of formation from the pure elements -0.79 eV/atom, N(E_F) 0.716 states/eV per atom.